First-principles (GGA-PBE) data for crystalline AcPu6Ge6 at its relaxed geometry, as listed in Alexandria.

As for the formation energy: -239.1 meV per atom. Its uncorrected energy is -9.301 eV/atom.

abc: 5.865 5.865 9.680
angles: 90.00 90.00 115.31
Each line ends with the local moment (μB).
Positions (direct):
Ge1 0.230 0.770 0.500  0.02
Ge2 0.630 0.370 0.000  0.03
Ge3 0.370 0.630 0.000  0.03
Ge4 0.770 0.230 0.500  0.02
Ge5 0.000 0.000 0.672  0.01
Ge6 0.000 0.000 0.328  0.01
Pu1 0.500 0.000 0.232  -5.06
Pu2 0.500 0.500 0.682  5.09
Pu3 0.500 0.500 0.318  5.09
Pu4 0.000 0.500 0.232  -5.06
Pu5 0.000 0.500 0.768  -5.06
Pu6 0.500 0.000 0.768  -5.06
Ac1 0.000 0.000 0.000  -0.06